<A>
The following is a PBE calculation of a geometry-optimized Pm3ErAu4 structure, from Alexandria.

a b c (Å): 3.9250 7.0532 8.8721
angles (deg): 113.42 102.78 90.00
Fractional positions:
Pm (0.0000, 0.5000, 0.0000)
Pm (0.2038, 0.2038, 0.4076)
Pm (0.7962, 0.7962, 0.5924)
Er (0.5000, 0.0000, 0.0000)
Au (0.3727, 0.5791, 0.7454)
Au (0.6273, 0.4209, 0.2546)
Au (0.6273, 0.8336, 0.2546)
Au (0.3727, 0.1664, 0.7454)

Summary:
**Magnetic moment**: 0.0 μB/f.u.

=====

<B>
The following is a PBE calculation of a geometry-optimized Pm3ErAu4 structure, from Alexandria.

a b c (Å): 3.6468 3.6468 14.7387
angles (deg): 90.00 90.00 90.00
Fractional positions:
Er (0.5000, 0.5000, 0.0000)
Au (0.0000, 0.0000, 0.8866)
Au (0.0000, 0.0000, 0.1134)
Au (0.0000, 0.0000, 0.3742)
Au (0.0000, 0.0000, 0.6258)
Pm (0.5000, 0.5000, 0.2461)
Pm (0.5000, 0.5000, 0.5000)
Pm (0.5000, 0.5000, 0.7539)

Summary:
**Magnetic moment**: 0.0 μB/f.u.

=====

Which one sits at the top of the stability order? <B> does.

=====

<A>
The following is a PBE calculation of a geometry-optimized PmErRhAu structure, from Alexandria.

a b c (Å): 5.0215 5.0215 5.0215
angles (deg): 60.00 60.00 60.00
Fractional positions:
Rh (0.5000, 0.5000, 0.5000)
Pm (0.7500, 0.7500, 0.7500)
Au (0.0000, 0.0000, 0.0000)
Er (0.2500, 0.2500, 0.2500)

Summary:
**Magnetic moment**: 0.0 μB/f.u.

=====

<B>
The following is a PBE calculation of a geometry-optimized PmErRhAu structure, from Alexandria.

a b c (Å): 3.8108 4.6212 5.5923
angles (deg): 90.00 109.92 90.00
Fractional positions:
Pm (0.1453, 0.0000, 0.2906)
Er (0.8646, 0.5000, 0.7291)
Rh (0.4087, 0.0000, 0.8173)
Au (0.5814, 0.5000, 0.1629)

Summary:
**Magnetic moment**: 0.0 μB/f.u.

=====

Which one sits at the top of the stability order? <B> does.

=====

<A>
The following is a PBE calculation of a geometry-optimized PrEr3Au2 structure, from Alexandria.

a b c (Å): 4.9621 7.1977 8.9563
angles (deg): 90.00 90.00 90.00
Fractional positions:
Pr (0.5000, 0.5127, 0.5749)
Pr (0.5000, 0.0127, 0.4251)
Er (0.0000, 0.4861, 0.9302)
Er (0.0000, 0.9861, 0.0698)
Er (0.5000, 0.6485, 0.1674)
Er (0.5000, 0.1485, 0.8326)
Er (0.0000, 0.3506, 0.3273)
Er (0.0000, 0.8506, 0.6727)
Au (0.5000, 0.7511, 0.8559)
Au (0.5000, 0.2511, 0.1441)
Au (0.0000, 0.2510, 0.6592)
Au (0.0000, 0.7510, 0.3408)

Summary:
**Magnetic moment**: 0.0 μB/f.u.

=====

<B>
The following is a PBE calculation of a geometry-optimized PrEr3Au2 structure, from Alexandria.

a b c (Å): 5.1761 9.3873 8.5119
angles (deg): 123.32 90.00 106.00
Fractional positions:
Pr (0.8656, 0.7311, 0.9319)
Pr (0.1344, 0.2689, 0.0681)
Er (0.3057, 0.6115, 0.6049)
Er (0.9358, 0.8715, 0.6049)
Er (0.6273, 0.2546, 0.7475)
Er (0.3727, 0.7454, 0.2525)
Er (0.0642, 0.1285, 0.3951)
Er (0.6943, 0.3885, 0.3951)
Au (0.4950, 0.9901, 0.8280)
Au (0.5050, 0.0099, 0.1720)
Au (0.7842, 0.5685, 0.1988)
Au (0.2158, 0.4315, 0.8012)

Summary:
**Magnetic moment**: 0.0 μB/f.u.

=====

Which one sits at the top of the stability order? <A> does.

=====

<A>
The following is a PBE calculation of a geometry-optimized PrErPtAu structure, from Alexandria.

a b c (Å): 5.1028 5.1028 5.1028
angles (deg): 60.00 60.00 60.00
Fractional positions:
Pr (0.5000, 0.5000, 0.5000)
Au (0.2500, 0.2500, 0.2500)
Pt (0.7500, 0.7500, 0.7500)
Er (0.0000, 0.0000, 0.0000)

Summary:
**Magnetic moment**: 0.0 μB/f.u.

=====

<B>
The following is a PBE calculation of a geometry-optimized PrErPtAu structure, from Alexandria.

a b c (Å): 3.8468 4.6687 5.7517
angles (deg): 90.00 109.54 90.00
Fractional positions:
Pr (0.1402, 0.0000, 0.2803)
Er (0.8645, 0.5000, 0.7289)
Pt (0.4109, 0.0000, 0.8218)
Au (0.5845, 0.5000, 0.1690)

Summary:
**Magnetic moment**: 0.0 μB/f.u.

=====

Which one sits at the top of the stability order? <B> does.

=====

<A>
The following is a PBE calculation of a geometry-optimized PrErRhAu structure, from Alexandria.

a b c (Å): 5.0595 5.0595 5.0595
angles (deg): 60.00 60.00 60.00
Fractional positions:
Pr (0.2500, 0.2500, 0.2500)
Rh (0.5000, 0.5000, 0.5000)
Au (0.0000, 0.0000, 0.0000)
Er (0.7500, 0.7500, 0.7500)

Summary:
**Magnetic moment**: 0.0 μB/f.u.

=====

<B>
The following is a PBE calculation of a geometry-optimized PrErRhAu structure, from Alexandria.

a b c (Å): 3.8479 4.6603 5.6179
angles (deg): 90.00 110.03 90.00
Fractional positions:
Pr (0.1460, 0.0000, 0.2920)
Er (0.8650, 0.5000, 0.7301)
Rh (0.4090, 0.0000, 0.8180)
Au (0.5800, 0.5000, 0.1599)

Summary:
**Magnetic moment**: 0.0 μB/f.u.

=====

Which one sits at the top of the stability order? <B> does.

=====

<A>
The following is a PBE calculation of a geometry-optimized PrErZnAu structure, from Alexandria.

a b c (Å): 3.6375 3.6375 7.2932
angles (deg): 90.00 90.00 90.00
Fractional positions:
Pr (0.5000, 0.5000, 0.6133)
Er (0.5000, 0.5000, 0.1094)
Zn (0.0000, 0.0000, 0.8802)
Au (0.0000, 0.0000, 0.3252)

Summary:
**Magnetic moment**: 0.0 μB/f.u.

=====

<B>
The following is a PBE calculation of a geometry-optimized PrErZnAu structure, from Alexandria.

a b c (Å): 5.1625 5.1625 5.1625
angles (deg): 60.00 60.00 60.00
Fractional positions:
Pr (0.5000, 0.5000, 0.5000)
Zn (0.7500, 0.7500, 0.7500)
Au (0.2500, 0.2500, 0.2500)
Er (0.0000, 0.0000, 0.0000)

Summary:
**Magnetic moment**: 0.0 μB/f.u.

=====

Which one sits at the top of the stability order? <A> does.

=====

<A>
The following is a PBE calculation of a geometry-optimized Er2PtAu2 structure, from Alexandria.

a b c (Å): 5.8661 6.2604 7.7358
angles (deg): 113.87 112.28 90.00
Fractional positions:
Er (0.3501, 0.5975, 0.7001)
Er (0.6499, 0.4025, 0.2999)
Er (0.1499, 0.8974, 0.2999)
Er (0.8501, 0.1026, 0.7001)
Pt (0.7500, 0.5000, 0.0000)
Pt (0.2500, 0.5000, 0.0000)
Au (0.8759, 0.6681, 0.7519)
Au (0.1241, 0.3319, 0.2481)
Au (0.6241, 0.9163, 0.2481)
Au (0.3759, 0.0837, 0.7519)

Summary:
**Magnetic moment**: 0.0 μB/f.u.

=====

<B>
The following is a PBE calculation of a geometry-optimized Er2PtAu2 structure, from Alexandria.

a b c (Å): 3.5580 3.8986 8.0168
angles (deg): 75.93 90.00 90.00
Fractional positions:
Er (0.5000, 0.3936, 0.2128)
Er (0.5000, 0.6064, 0.7872)
Pt (0.0000, 0.0000, 0.0000)
Au (0.0000, 0.1871, 0.6259)
Au (0.0000, 0.8129, 0.3741)

Summary:
**Magnetic moment**: 0.0 μB/f.u.

=====

Which one sits at the top of the stability order? <B> does.

=====

<A>
The following is a PBE calculation of a geometry-optimized ErPt3Au structure, from Alexandria.

a b c (Å): 7.0407 7.0407 9.0979
angles (deg): 90.00 90.00 102.99
Fractional positions:
Er (0.9883, 0.9883, 0.2500)
Er (0.0117, 0.0117, 0.7500)
Er (0.3977, 0.3977, 0.2500)
Er (0.6023, 0.6023, 0.7500)
Pt (0.8180, 0.5627, 0.2500)
Pt (0.1820, 0.4373, 0.7500)
Pt (0.4373, 0.1820, 0.7500)
Pt (0.5627, 0.8180, 0.2500)
Pt (0.2012, 0.2012, 0.4963)
Pt (0.7988, 0.7988, 0.9963)
Pt (0.7988, 0.7988, 0.5037)
Pt (0.2012, 0.2012, 0.0037)
Pt (0.3776, 0.6224, 0.0000)
Pt (0.6224, 0.3776, 0.5000)
Pt (0.6224, 0.3776, 0.0000)
Pt (0.3776, 0.6224, 0.5000)
Au (0.5000, 0.0000, 0.0000)
Au (0.5000, 0.0000, 0.5000)
Au (0.0000, 0.5000, 0.0000)
Au (0.0000, 0.5000, 0.5000)

Summary:
**Magnetic moment**: 0.0 μB/f.u.

=====

<B>
The following is a PBE calculation of a geometry-optimized ErPt3Au structure, from Alexandria.

a b c (Å): 4.6076 5.7837 7.2056
angles (deg): 90.00 90.00 90.00
Fractional positions:
Er (0.5000, 0.0000, 0.1739)
Er (0.0000, 0.5000, 0.8261)
Pt (0.0000, 0.7281, 0.2421)
Pt (0.5000, 0.7719, 0.7579)
Pt (0.5000, 0.2281, 0.7579)
Pt (0.0000, 0.2719, 0.2421)
Pt (0.0000, 0.0000, 0.9200)
Pt (0.5000, 0.5000, 0.0800)
Au (0.0000, 0.0000, 0.5489)
Au (0.5000, 0.5000, 0.4511)

Summary:
**Magnetic moment**: 0.0 μB/f.u.

=====

Which one sits at the top of the stability order? <B> does.

=====

<A>
The following is a PBE calculation of a geometry-optimized ErPuAu4 structure, from Alexandria.

a b c (Å): 3.7371 3.7371 9.2536
angles (deg): 90.00 90.00 90.00
Each line ends with the local moment (μB).
Fractional positions:
Er (0.5000, 0.5000, 0.5000)  -0.02
Pu (0.0000, 0.0000, 0.0000)  5.19
Au (0.5000, 0.5000, 0.8254)  0.01
Au (0.5000, 0.5000, 0.1746)  0.01
Au (0.0000, 0.0000, 0.6601)  -0.01
Au (0.0000, 0.0000, 0.3399)  -0.01

Summary:
**Magnetic moment**: 5.4 μB/f.u.

=====

<B>
The following is a PBE calculation of a geometry-optimized ErPuAu4 structure, from Alexandria.

a b c (Å): 4.2254 5.5212 6.8848
angles (deg): 69.98 90.00 90.00
Each line ends with the local moment (μB).
Fractional positions:
Er (0.0013, 0.9973, 0.4981)  -0.05
Pu (0.5013, 0.4973, 0.9981)  -5.27
Au (0.5013, 0.9319, 0.2240)  -0.01
Au (0.5013, 0.0627, 0.7723)  -0.01
Au (0.0013, 0.4350, 0.7144)  0.00
Au (0.0013, 0.5596, 0.2818)  0.00

Summary:
**Magnetic moment**: 5.6 μB/f.u.

=====

Which one sits at the top of the stability order? <A> does.

=====

<A>
The following is a PBE calculation of a geometry-optimized Er2PuAu structure, from Alexandria.

a b c (Å): 3.5399 3.5399 8.3216
angles (deg): 90.00 90.00 90.00
Each line ends with the local moment (μB).
Fractional positions:
Er (0.0000, 0.0000, 0.7892)  0.26
Er (0.0000, 0.0000, 0.2108)  0.26
Au (0.5000, 0.5000, 0.0000)  0.01
Pu (0.5000, 0.5000, 0.5000)  5.56

Summary:
**Magnetic moment**: 6.7 μB/f.u.

=====

<B>
The following is a PBE calculation of a geometry-optimized Er2PuAu structure, from Alexandria.

a b c (Å): 3.5702 3.5702 10.1514
angles (deg): 79.87 79.87 60.00
Each line ends with the local moment (μB).
Fractional positions:
Er (0.2613, 0.2613, 0.2161)  0.15
Er (0.7387, 0.7387, 0.7839)  0.15
Au (0.0000, 0.0000, 0.0000)  -0.01
Pu (0.5000, 0.5000, 0.5000)  5.61

Summary:
**Magnetic moment**: 6.5 μB/f.u.

=====

Which one sits at the top of the stability order? <A> does.

=====

<A>
The following is a PBE calculation of a geometry-optimized Er3RhAu structure, from Alexandria.

a b c (Å): 4.1931 6.9335 8.6368
angles (deg): 90.00 90.00 90.00
Fractional positions:
Er (0.7500, 0.7500, 0.0619)
Er (0.2500, 0.2500, 0.9381)
Er (0.7500, 0.9945, 0.6638)
Er (0.7500, 0.5055, 0.6638)
Er (0.2500, 0.0055, 0.3362)
Er (0.2500, 0.4945, 0.3362)
Rh (0.7500, 0.7500, 0.3934)
Rh (0.2500, 0.2500, 0.6066)
Au (0.7500, 0.2500, 0.1675)
Au (0.2500, 0.7500, 0.8325)

Summary:
**Magnetic moment**: 0.0 μB/f.u.

=====

<B>
The following is a PBE calculation of a geometry-optimized Er3RhAu structure, from Alexandria.

a b c (Å): 8.1132 7.1891 8.6915
angles (deg): 90.00 75.80 90.00
Fractional positions:
Er (0.4029, 0.1470, 0.7725)
Er (0.5971, 0.8530, 0.2275)
Er (0.0971, 0.6470, 0.2275)
Er (0.9029, 0.3530, 0.7725)
Er (0.5229, 0.6815, 0.8478)
Er (0.4771, 0.3185, 0.1522)
Er (0.9772, 0.1815, 0.1522)
Er (0.0228, 0.8185, 0.8478)
Er (0.7857, 0.9969, 0.5443)
Er (0.2143, 0.0031, 0.4557)
Er (0.7143, 0.4968, 0.4557)
Er (0.2857, 0.5032, 0.5443)
Rh (0.4794, 0.8113, 0.5643)
Rh (0.5206, 0.1887, 0.4357)
Rh (0.0206, 0.3113, 0.4357)
Rh (0.9794, 0.6887, 0.5643)
Au (0.6947, 0.0433, 0.9176)
Au (0.3053, 0.9567, 0.0824)
Au (0.8053, 0.5433, 0.0824)
Au (0.1947, 0.4567, 0.9176)

Summary:
**Magnetic moment**: 0.0 μB/f.u.

=====

Which one sits at the top of the stability order? <B> does.

=====

<A>
The following is a PBE calculation of a geometry-optimized Er8RhAu2 structure, from Alexandria.

a b c (Å): 5.0798 6.7200 9.0188
angles (deg): 105.13 106.36 90.00
Fractional positions:
Er (0.4105, 0.5616, 0.8209)
Er (0.6603, 0.9689, 0.3207)
Er (0.7978, 0.6855, 0.5955)
Er (0.9708, 0.2135, 0.9417)
Er (0.2022, 0.3145, 0.4045)
Er (0.3397, 0.0311, 0.6793)
Er (0.5895, 0.4384, 0.1791)
Er (0.0292, 0.7865, 0.0583)
Rh (0.5000, 0.0000, 0.0000)
Au (0.8128, 0.2751, 0.6256)
Au (0.1872, 0.7249, 0.3744)

Summary:
**Magnetic moment**: 0.0 μB/f.u.

=====

<B>
The following is a PBE calculation of a geometry-optimized Er8RhAu2 structure, from Alexandria.

a b c (Å): 5.8255 8.0805 8.0805
angles (deg): 119.91 102.43 102.43
Fractional positions:
Er (0.6074, 0.3480, 0.1108)
Er (0.6074, 0.1108, 0.3480)
Er (0.1878, 0.3592, 0.3592)
Er (0.9845, 0.1906, 0.8037)
Er (0.9845, 0.8037, 0.1906)
Er (0.7847, 0.6458, 0.6458)
Er (0.3452, 0.8929, 0.6525)
Er (0.3452, 0.6525, 0.8929)
Rh (0.1426, 0.0025, 0.0025)
Au (0.5052, 0.7192, 0.3088)
Au (0.5052, 0.3088, 0.7192)

Summary:
**Magnetic moment**: 0.0 μB/f.u.

=====

Which one sits at the top of the stability order? <A> does.